Ir2PtSe | GGA-PBE | relaxed

The density of states at the Fermi level comes out at 0.60 states/eV/atom. As for the energy relative to the elements, uncorrected: 2.8 eV/f.u. Its total moment is 0.00 μB per cell.

The space group is I-42d (No. 122) and the conventional cell measures 5.226, 5.226 and 12.634 Å, with angles of 90.00, 90.00 and 90.00 degrees. The asymmetric unit holds Ir at (0.228, 0.250, 0.125), Pt at (0.000, 0.000, 0.500) and Se at (0.000, 0.000, 0.000).

Ir2PtSe | GGA-PBE | relaxed

The density of states at the Fermi level comes out at 0.75 states/eV/atom. As for the energy relative to the elements, uncorrected: 1.5 eV/f.u. Its total moment is 0.00 μB per cell.

The space group is Imm2 (No. 44) and the conventional cell measures 2.769, 4.740 and 9.722 Å, with angles of 90.00, 90.00 and 90.00 degrees. The asymmetric unit holds Ir at (0.000, 0.000, 0.000), Ir at (0.000, 0.500, 0.267), Pt at (0.000, 0.500, 0.756) and Se at (0.000, 0.000, 0.534).

Repeat the first record exactly.
Ir2PtSe | GGA-PBE | relaxed

The density of states at the Fermi level comes out at 0.60 states/eV/atom. As for the energy relative to the elements, uncorrected: 2.8 eV/f.u. Its total moment is 0.00 μB per cell.

The space group is I-42d (No. 122) and the conventional cell measures 5.226, 5.226 and 12.634 Å, with angles of 90.00, 90.00 and 90.00 degrees. The asymmetric unit holds Ir at (0.228, 0.250, 0.125), Pt at (0.000, 0.000, 0.500) and Se at (0.000, 0.000, 0.000).